[1]
# In2SiRu | the Alexandria database | PBE | optimized geometry
# * electronic total energy: -5.067 eV per atom
# * DOS at the Fermi energy: 0.63 states/eV per atom
# * SG: Amm2 (38)
# * raw formation energy: -0.0234 eV/atom
data_In2SiRu
_cell_length_a 3.864
_cell_length_b 3.991
_cell_length_c 9.944
_cell_angle_alpha 90.00
_cell_angle_beta 90.00
_cell_angle_gamma 90.00
_space_group_name_H-M_alt 'P 1'
_space_group_IT_number 1
loop_
_space_group_symop_operation_xyz
'x,y,z'
loop_
_atom_site_label
_atom_site_type_symbol
_atom_site_fract_x
_atom_site_fract_y
_atom_site_fract_z
In1 In 0.000 0.000 0.000
In2 In 0.000 0.500 0.500
In3 In 0.500 0.000 0.303
In4 In 0.500 0.500 0.803
Si1 Si 0.500 0.000 0.582
Si2 Si 0.500 0.500 0.082
Ru1 Ru 0.000 0.000 0.715
Ru2 Ru 0.000 0.500 0.215

=====

[2]
# In2SiRu | the Alexandria database | PBE | optimized geometry
# * electronic total energy: -4.692 eV per atom
# * DOS at the Fermi energy: 0.62 states/eV per atom
# * SG: C2/m (12)
# * raw formation energy: 0.3523 eV/atom
data_In2SiRu
_cell_length_a 9.877
_cell_length_b 3.219
_cell_length_c 4.621
_cell_angle_alpha 90.00
_cell_angle_beta 95.59
_cell_angle_gamma 90.00
_space_group_name_H-M_alt 'P 1'
_space_group_IT_number 1
loop_
_space_group_symop_operation_xyz
'x,y,z'
loop_
_atom_site_label
_atom_site_type_symbol
_atom_site_fract_x
_atom_site_fract_y
_atom_site_fract_z
In1 In 0.234 0.000 0.241
In2 In 0.266 0.500 0.759
In3 In 0.734 0.500 0.241
In4 In 0.766 0.000 0.759
Si1 Si 0.000 0.000 0.500
Si2 Si 0.500 0.500 0.500
Ru1 Ru 0.000 0.500 0.000
Ru2 Ru 0.500 0.000 0.000

=====

[3]
# In2SiRu | the Alexandria database | PBE | optimized geometry
# * electronic total energy: -4.686 eV per atom
# * DOS at the Fermi energy: 0.91 states/eV per atom
# * SG: I4/mmm (139)
# * raw formation energy: 0.3584 eV/atom
data_In2SiRu
_cell_length_a 4.131
_cell_length_b 4.131
_cell_length_c 8.375
_cell_angle_alpha 90.00
_cell_angle_beta 90.00
_cell_angle_gamma 90.00
_space_group_name_H-M_alt 'P 1'
_space_group_IT_number 1
loop_
_space_group_symop_operation_xyz
'x,y,z'
loop_
_atom_site_label
_atom_site_type_symbol
_atom_site_fract_x
_atom_site_fract_y
_atom_site_fract_z
In1 In 0.000 0.500 0.250
In2 In 0.000 0.500 0.750
In3 In 0.500 0.000 0.250
In4 In 0.500 0.000 0.750
Si1 Si 0.000 0.000 0.000
Si2 Si 0.500 0.500 0.500
Ru1 Ru 0.000 0.000 0.500
Ru2 Ru 0.500 0.500 0.000

=====

[4]
# InSi2Ru | the Alexandria database | PBE | optimized geometry
# * electronic total energy: -5.604 eV per atom
# * DOS at the Fermi energy: 0.74 states/eV per atom
# * SG: R3m (160)
# * raw formation energy: 0.1108 eV/atom
data_InSi2Ru
_cell_length_a 3.131
_cell_length_b 3.131
_cell_length_c 23.550
_cell_angle_alpha 90.00
_cell_angle_beta 90.00
_cell_angle_gamma 120.00
_space_group_name_H-M_alt 'P 1'
_space_group_IT_number 1
loop_
_space_group_symop_operation_xyz
'x,y,z'
loop_
_atom_site_label
_atom_site_type_symbol
_atom_site_fract_x
_atom_site_fract_y
_atom_site_fract_z
In1 In 0.000 0.000 0.000
In2 In 0.333 0.667 0.667
In3 In 0.667 0.333 0.333
Si1 Si 0.000 0.000 0.507
Si2 Si 0.000 0.000 0.764
Si3 Si 0.333 0.667 0.173
Si4 Si 0.333 0.667 0.431
Si5 Si 0.667 0.333 0.098
Si6 Si 0.667 0.333 0.840
Ru1 Ru 0.000 0.000 0.241
Ru2 Ru 0.333 0.667 0.908
Ru3 Ru 0.667 0.333 0.574

=====

[5]
# In2SiRu | the Alexandria database | PBE | optimized geometry
# * electronic total energy: -4.964 eV per atom
# * DOS at the Fermi energy: 0.55 states/eV per atom
# * SG: Imm2 (44)
# * raw formation energy: 0.0802 eV/atom
data_In2SiRu
_cell_length_a 2.977
_cell_length_b 4.581
_cell_length_c 12.020
_cell_angle_alpha 90.00
_cell_angle_beta 90.00
_cell_angle_gamma 90.00
_space_group_name_H-M_alt 'P 1'
_space_group_IT_number 1
loop_
_space_group_symop_operation_xyz
'x,y,z'
loop_
_atom_site_label
_atom_site_type_symbol
_atom_site_fract_x
_atom_site_fract_y
_atom_site_fract_z
In1 In 0.000 0.000 0.000
In2 In 0.000 0.500 0.195
In3 In 0.500 0.000 0.695
In4 In 0.500 0.500 0.500
Si1 Si 0.000 0.000 0.370
Si2 Si 0.500 0.500 0.870
Ru1 Ru 0.000 0.500 0.712
Ru2 Ru 0.500 0.000 0.212

=====

[6]
# InSi2Ru | the Alexandria database | PBE | optimized geometry
# * electronic total energy: -5.266 eV per atom
# * DOS at the Fermi energy: 0.49 states/eV per atom
# * SG: F-43m (216)
# * raw formation energy: 0.4490 eV/atom
data_InSi2Ru
_cell_length_a 6.386
_cell_length_b 6.386
_cell_length_c 6.386
_cell_angle_alpha 90.00
_cell_angle_beta 90.00
_cell_angle_gamma 90.00
_space_group_name_H-M_alt 'P 1'
_space_group_IT_number 1
loop_
_space_group_symop_operation_xyz
'x,y,z'
loop_
_atom_site_label
_atom_site_type_symbol
_atom_site_fract_x
_atom_site_fract_y
_atom_site_fract_z
In1 In 0.000 0.000 0.000
In2 In 0.000 0.500 0.500
In3 In 0.500 0.000 0.500
In4 In 0.500 0.500 0.000
Si1 Si 0.000 0.000 0.500
Si2 Si 0.000 0.500 0.000
Si3 Si 0.250 0.250 0.250
Si4 Si 0.250 0.750 0.750
Si5 Si 0.500 0.000 0.000
Si6 Si 0.500 0.500 0.500
Si7 Si 0.750 0.250 0.750
Si8 Si 0.750 0.750 0.250
Ru1 Ru 0.250 0.250 0.750
Ru2 Ru 0.250 0.750 0.250
Ru3 Ru 0.750 0.250 0.250
Ru4 Ru 0.750 0.750 0.750

=====

[7]
# InSi2Ru | the Alexandria database | PBE | optimized geometry
# * electronic total energy: -5.695 eV per atom
# * DOS at the Fermi energy: 0.46 states/eV per atom
# * SG: Pm (6)
# * raw formation energy: 0.0200 eV/atom
data_InSi2Ru
_cell_length_a 3.403
_cell_length_b 4.194
_cell_length_c 4.987
_cell_angle_alpha 90.00
_cell_angle_beta 109.74
_cell_angle_gamma 90.00
_space_group_name_H-M_alt 'P 1'
_space_group_IT_number 1
loop_
_space_group_symop_operation_xyz
'x,y,z'
loop_
_atom_site_label
_atom_site_type_symbol
_atom_site_fract_x
_atom_site_fract_y
_atom_site_fract_z
In1 In 0.000 0.000 0.000
Si1 Si 0.297 0.500 0.597
Si2 Si 0.730 0.000 0.465
Ru1 Ru 0.601 0.500 0.204

=====

[8]
# InSiRu3 | the Alexandria database | PBE | optimized geometry
# * electronic total energy: -5.001 eV per atom
# * energy relative to the lowest polymorph listed for this composition: 1809.9 meV per atom
# * DOS at the Fermi energy: 1.80 states/eV per atom
# * SG: Pm-3m (221)
# * raw formation energy: 2.1964 eV/atom
data_InSiRu3
_cell_length_a 4.850
_cell_length_b 4.850
_cell_length_c 4.850
_cell_angle_alpha 90.00
_cell_angle_beta 90.00
_cell_angle_gamma 90.00
_space_group_name_H-M_alt 'P 1'
_space_group_IT_number 1
loop_
_space_group_symop_operation_xyz
'x,y,z'
loop_
_atom_site_label
_atom_site_type_symbol
_atom_site_fract_x
_atom_site_fract_y
_atom_site_fract_z
In1 In 0.000 0.000 0.000
Si1 Si 0.500 0.500 0.500
Ru1 Ru 0.000 0.000 0.500
Ru2 Ru 0.000 0.500 0.000
Ru3 Ru 0.500 0.000 0.000

=====

[9]
# InSi2Ru2 | the Alexandria database | PBE | optimized geometry
# * electronic total energy: -6.627 eV per atom
# * energy relative to the lowest polymorph listed for this composition: 225.7 meV per atom
# * DOS at the Fermi energy: 0.41 states/eV per atom
# * SG: P4/mbm (127)
# * raw formation energy: -0.1997 eV/atom
data_InSi2Ru2
_cell_length_a 7.189
_cell_length_b 7.189
_cell_length_c 2.861
_cell_angle_alpha 90.00
_cell_angle_beta 90.00
_cell_angle_gamma 90.00
_space_group_name_H-M_alt 'P 1'
_space_group_IT_number 1
loop_
_space_group_symop_operation_xyz
'x,y,z'
loop_
_atom_site_label
_atom_site_type_symbol
_atom_site_fract_x
_atom_site_fract_y
_atom_site_fract_z
In1 In 0.000 0.000 0.000
In2 In 0.500 0.500 0.000
Si1 Si 0.133 0.367 0.000
Si2 Si 0.367 0.867 0.000
Si3 Si 0.633 0.133 0.000
Si4 Si 0.867 0.633 0.000
Ru1 Ru 0.155 0.655 0.500
Ru2 Ru 0.345 0.155 0.500
Ru3 Ru 0.655 0.845 0.500
Ru4 Ru 0.845 0.345 0.500

=====

[10]
# SrInSiRu2 | the Alexandria database | PBE | optimized geometry
# * electronic total energy: -3.574 eV per atom
# * DOS at the Fermi energy: 1.58 states/eV per atom
# * SG: P4/mmm (123)
# * raw formation energy: 2.1047 eV/atom
data_SrInSiRu2
_cell_length_a 4.940
_cell_length_b 4.940
_cell_length_c 5.380
_cell_angle_alpha 90.00
_cell_angle_beta 90.00
_cell_angle_gamma 90.00
_space_group_name_H-M_alt 'P 1'
_space_group_IT_number 1
loop_
_space_group_symop_operation_xyz
'x,y,z'
loop_
_atom_site_label
_atom_site_type_symbol
_atom_site_fract_x
_atom_site_fract_y
_atom_site_fract_z
Sr1 Sr 0.000 0.000 0.000
In1 In 0.500 0.500 0.500
Si1 Si 0.000 0.000 0.500
Ru1 Ru 0.000 0.500 0.000
Ru2 Ru 0.500 0.000 0.000

=====

[11]
# Tb2InSi2Ru5 | the Alexandria database | PBE | optimized geometry
# * electronic total energy: -7.494 eV per atom
# * DOS at the Fermi energy: 0.66 states/eV per atom
# * SG: P4/mbm (127)
# * raw formation energy: -0.5718 eV/atom
data_Tb2InSi2Ru5
_cell_length_a 10.103
_cell_length_b 10.103
_cell_length_c 3.296
_cell_angle_alpha 90.00
_cell_angle_beta 90.00
_cell_angle_gamma 90.00
_space_group_name_H-M_alt 'P 1'
_space_group_IT_number 1
loop_
_space_group_symop_operation_xyz
'x,y,z'
loop_
_atom_site_label
_atom_site_type_symbol
_atom_site_fract_x
_atom_site_fract_y
_atom_site_fract_z
Tb1 Tb 0.174 0.326 0.000
Tb2 Tb 0.326 0.826 0.000
Tb3 Tb 0.674 0.174 0.000
Tb4 Tb 0.826 0.674 0.000
In1 In 0.000 0.000 0.000
In2 In 0.500 0.500 0.000
Si1 Si 0.125 0.625 0.000
Si2 Si 0.375 0.125 0.000
Si3 Si 0.625 0.875 0.000
Si4 Si 0.875 0.375 0.000
Ru1 Ru 0.000 0.500 0.500
Ru2 Ru 0.069 0.785 0.500
Ru3 Ru 0.215 0.069 0.500
Ru4 Ru 0.285 0.569 0.500
Ru5 Ru 0.431 0.285 0.500
Ru6 Ru 0.500 0.000 0.500
Ru7 Ru 0.569 0.715 0.500
Ru8 Ru 0.715 0.431 0.500
Ru9 Ru 0.785 0.931 0.500
Ru10 Ru 0.931 0.215 0.500

=====

[12]
# Tl2InSiRu | the Alexandria database | PBE | optimized geometry
# * electronic total energy: -3.051 eV per atom
# * DOS at the Fermi energy: 0.78 states/eV per atom
# * SG: P4/mmm (123)
# * raw formation energy: 1.3828 eV/atom
data_Tl2InSiRu
_cell_length_a 5.490
_cell_length_b 5.490
_cell_length_c 5.084
_cell_angle_alpha 90.00
_cell_angle_beta 90.00
_cell_angle_gamma 90.00
_space_group_name_H-M_alt 'P 1'
_space_group_IT_number 1
loop_
_space_group_symop_operation_xyz
'x,y,z'
loop_
_atom_site_label
_atom_site_type_symbol
_atom_site_fract_x
_atom_site_fract_y
_atom_site_fract_z
Tl1 Tl 0.000 0.500 0.000
Tl2 Tl 0.500 0.000 0.000
In1 In 0.000 0.000 0.000
Si1 Si 0.500 0.500 0.500
Ru1 Ru 0.000 0.000 0.500